TaP3F | PBE | relaxed

**Formation energy without anion corrections**: 0.17 eV/atom
**ΔE to the lowest computed polymorph**: 0 meV/atom
**SG**: Pm-3m

Cell lengths 4.7641, 4.7641, 4.7641 Å; angles 90.00, 90.00, 90.00 degrees
With the nearest neighbours (Å) after each atom.
Atoms (fractional coordinates):
P (0.5000, 0.0000, 0.0000)  2 Ta 2.38
P (0.0000, 0.5000, 0.0000)  2 Ta 2.38
P (0.0000, 0.0000, 0.5000)  2 Ta 2.38
F (0.5000, 0.5000, 0.5000)  12 P 3.37
Ta (0.0000, 0.0000, 0.0000)  6 P 2.38